(1)
# Ce2Y3HoS6

Ce2Y3HoS6 after structural relaxation (PBE, Alexandria via LeMat-Bulk).

```
data_Ce2Y3HoS6
_cell_length_a 6.829
_cell_length_b 6.829
_cell_length_c 6.861
_cell_angle_alpha 99.60
_cell_angle_beta 99.60
_cell_angle_gamma 120.05
_space_group_name_H-M_alt 'P 1'
_space_group_IT_number 1
loop_
_space_group_symop_operation_xyz
'x,y,z'
loop_
_atom_site_label
_atom_site_type_symbol
_atom_site_fract_x
_atom_site_fract_y
_atom_site_fract_z
_atom_site_occupancy
Ce1 Ce 0.166 0.834 0.000 1
Ce2 Ce 0.834 0.166 0.000 1
Y1 Y 0.000 0.000 0.500 1
Y2 Y 0.333 0.667 0.500 1
Y3 Y 0.667 0.333 0.500 1
Ho1 Ho 0.500 0.500 0.000 1
S1 S 0.088 0.415 0.744 1
S2 S 0.259 0.259 0.256 1
S3 S 0.415 0.088 0.744 1
S4 S 0.585 0.912 0.256 1
S5 S 0.741 0.741 0.744 1
S6 S 0.912 0.585 0.256 1
```

(2)
# Ce3YHo4S8

Ce3YHo4S8 after structural relaxation (PBE, Alexandria via LeMat-Bulk).

```
data_Ce3YHo4S8
_cell_length_a 7.904
_cell_length_b 7.904
_cell_length_c 7.904
_cell_angle_alpha 59.61
_cell_angle_beta 59.61
_cell_angle_gamma 59.61
_space_group_name_H-M_alt 'P 1'
_space_group_IT_number 1
loop_
_space_group_symop_operation_xyz
'x,y,z'
loop_
_atom_site_label
_atom_site_type_symbol
_atom_site_fract_x
_atom_site_fract_y
_atom_site_fract_z
_atom_site_occupancy
Ce1 Ce 0.000 0.500 0.500 1
Ce2 Ce 0.500 0.000 0.500 1
Ce3 Ce 0.500 0.500 0.000 1
Y1 Y 0.000 0.000 0.000 1
Ho1 Ho 0.000 0.000 0.500 1
Ho2 Ho 0.000 0.500 0.000 1
Ho3 Ho 0.500 0.000 0.000 1
Ho4 Ho 0.500 0.500 0.500 1
S1 S 0.243 0.749 0.749 1
S2 S 0.246 0.246 0.246 1
S3 S 0.251 0.251 0.757 1
S4 S 0.251 0.757 0.251 1
S5 S 0.749 0.243 0.749 1
S6 S 0.749 0.749 0.243 1
S7 S 0.754 0.754 0.754 1
S8 S 0.757 0.251 0.251 1
```

(3)
# Ce2YHo3S6

Ce2YHo3S6 after structural relaxation (PBE, Alexandria via LeMat-Bulk).

```
data_Ce2YHo3S6
_cell_length_a 6.802
_cell_length_b 6.802
_cell_length_c 6.853
_cell_angle_alpha 99.55
_cell_angle_beta 99.55
_cell_angle_gamma 120.06
_space_group_name_H-M_alt 'P 1'
_space_group_IT_number 1
loop_
_space_group_symop_operation_xyz
'x,y,z'
loop_
_atom_site_label
_atom_site_type_symbol
_atom_site_fract_x
_atom_site_fract_y
_atom_site_fract_z
_atom_site_occupancy
Ce1 Ce 0.166 0.834 0.000 1
Ce2 Ce 0.834 0.166 0.000 1
Y1 Y 0.500 0.500 0.000 1
Ho1 Ho 0.000 0.000 0.500 1
Ho2 Ho 0.333 0.667 0.500 1
Ho3 Ho 0.667 0.333 0.500 1
S1 S 0.085 0.414 0.740 1
S2 S 0.258 0.258 0.260 1
S3 S 0.414 0.085 0.740 1
S4 S 0.586 0.915 0.260 1
S5 S 0.742 0.742 0.740 1
S6 S 0.915 0.586 0.260 1
```

(4)
# CeHo3Sb2

CeHo3Sb2 after structural relaxation (PBE, Alexandria via LeMat-Bulk).

```
data_CeHo3Sb2
_cell_length_a 9.413
_cell_length_b 9.413
_cell_length_c 9.757
_cell_angle_alpha 113.16
_cell_angle_beta 113.16
_cell_angle_gamma 26.46
_space_group_name_H-M_alt 'P 1'
_space_group_IT_number 1
loop_
_space_group_symop_operation_xyz
'x,y,z'
loop_
_atom_site_label
_atom_site_type_symbol
_atom_site_fract_x
_atom_site_fract_y
_atom_site_fract_z
_atom_site_occupancy
Ce1 Ce 0.111 0.111 0.119 1
Ce2 Ce 0.889 0.889 0.881 1
Ho1 Ho 0.057 0.057 0.674 1
Ho2 Ho 0.312 0.312 0.110 1
Ho3 Ho 0.357 0.357 0.526 1
Ho4 Ho 0.643 0.643 0.474 1
Ho5 Ho 0.688 0.688 0.890 1
Ho6 Ho 0.943 0.943 0.326 1
Sb1 Sb 0.247 0.247 0.715 1
Sb2 Sb 0.489 0.489 0.156 1
Sb3 Sb 0.511 0.511 0.844 1
Sb4 Sb 0.753 0.753 0.285 1
```

(5)
# CeHo2Sb, optimized geometry, DFT PBE
# - energy relative to the lowest polymorph listed for this composition (meV/atom) = 39
data_CeHo2Sb
_cell_length_a 3.918
_cell_length_b 3.918
_cell_length_c 7.249
_cell_angle_alpha 90.00
_cell_angle_beta 90.00
_cell_angle_gamma 90.00
_space_group_name_H-M_alt 'P 1'
_space_group_IT_number 1
loop_
_space_group_symop_operation_xyz
'x,y,z'
loop_
_atom_site_label
_atom_site_type_symbol
_atom_site_fract_x
_atom_site_fract_y
_atom_site_fract_z
_atom_site_occupancy
Ce1 Ce 0.000 0.000 0.000 1
Ho1 Ho 0.500 0.500 0.276 1
Ho2 Ho 0.500 0.500 0.724 1
Sb1 Sb 0.000 0.000 0.500 1

(6)
# CeHo2Sb, optimized geometry, DFT PBE
# - energy relative to the lowest polymorph listed for this composition (meV/atom) = 0
data_CeHo2Sb
_cell_length_a 4.837
_cell_length_b 4.837
_cell_length_c 4.617
_cell_angle_alpha 90.00
_cell_angle_beta 90.00
_cell_angle_gamma 90.00
_space_group_name_H-M_alt 'P 1'
_space_group_IT_number 1
loop_
_space_group_symop_operation_xyz
'x,y,z'
loop_
_atom_site_label
_atom_site_type_symbol
_atom_site_fract_x
_atom_site_fract_y
_atom_site_fract_z
_atom_site_occupancy
Ce1 Ce 0.000 0.000 0.000 1
Ho1 Ho 0.000 0.500 0.500 1
Ho2 Ho 0.500 0.000 0.500 1
Sb1 Sb 0.500 0.500 0.000 1

(7)
# Ce3Ho5Sb8

Ce3Ho5Sb8 after structural relaxation (PBE, Alexandria via LeMat-Bulk).

```
data_Ce3Ho5Sb8
_cell_length_a 8.829
_cell_length_b 8.829
_cell_length_c 8.829
_cell_angle_alpha 60.06
_cell_angle_beta 60.06
_cell_angle_gamma 60.06
_space_group_name_H-M_alt 'P 1'
_space_group_IT_number 1
loop_
_space_group_symop_operation_xyz
'x,y,z'
loop_
_atom_site_label
_atom_site_type_symbol
_atom_site_fract_x
_atom_site_fract_y
_atom_site_fract_z
_atom_site_occupancy
Ce1 Ce 0.000 0.500 0.500 1
Ce2 Ce 0.500 0.000 0.500 1
Ce3 Ce 0.500 0.500 0.000 1
Ho1 Ho 0.000 0.000 0.000 1
Ho2 Ho 0.000 0.000 0.500 1
Ho3 Ho 0.000 0.500 0.000 1
Ho4 Ho 0.500 0.000 0.000 1
Ho5 Ho 0.500 0.500 0.500 1
Sb1 Sb 0.245 0.750 0.750 1
Sb2 Sb 0.247 0.247 0.247 1
Sb3 Sb 0.250 0.250 0.755 1
Sb4 Sb 0.250 0.755 0.250 1
Sb5 Sb 0.750 0.245 0.750 1
Sb6 Sb 0.750 0.750 0.245 1
Sb7 Sb 0.753 0.753 0.753 1
Sb8 Sb 0.755 0.250 0.250 1
```

(8)
# CeHo2Sb, optimized geometry, DFT PBE
# - energy relative to the lowest polymorph listed for this composition (meV/atom) = 235
data_CeHo2Sb
_cell_length_a 10.784
_cell_length_b 10.784
_cell_length_c 10.784
_cell_angle_alpha 19.00
_cell_angle_beta 19.00
_cell_angle_gamma 19.00
_space_group_name_H-M_alt 'P 1'
_space_group_IT_number 1
loop_
_space_group_symop_operation_xyz
'x,y,z'
loop_
_atom_site_label
_atom_site_type_symbol
_atom_site_fract_x
_atom_site_fract_y
_atom_site_fract_z
_atom_site_occupancy
Ce1 Ce 0.000 0.000 0.000 1
Ho1 Ho 0.244 0.244 0.244 1
Ho2 Ho 0.756 0.756 0.756 1
Sb1 Sb 0.500 0.500 0.500 1

(9)
# Ce5HoSb5

Ce5HoSb5 after structural relaxation (PBE, Alexandria via LeMat-Bulk).

```
data_Ce5HoSb5
_cell_length_a 7.696
_cell_length_b 7.696
_cell_length_c 8.886
_cell_angle_alpha 107.00
_cell_angle_beta 107.00
_cell_angle_gamma 48.30
_space_group_name_H-M_alt 'P 1'
_space_group_IT_number 1
loop_
_space_group_symop_operation_xyz
'x,y,z'
loop_
_atom_site_label
_atom_site_type_symbol
_atom_site_fract_x
_atom_site_fract_y
_atom_site_fract_z
_atom_site_occupancy
Ce1 Ce 0.000 0.000 0.000 1
Ce2 Ce 0.331 0.331 0.167 1
Ce3 Ce 0.336 0.336 0.669 1
Ce4 Ce 0.664 0.664 0.331 1
Ce5 Ce 0.669 0.669 0.833 1
Ho1 Ho 0.000 0.000 0.500 1
Sb1 Sb 0.165 0.165 0.830 1
Sb2 Sb 0.166 0.166 0.337 1
Sb3 Sb 0.500 0.500 0.500 1
Sb4 Sb 0.834 0.834 0.663 1
Sb5 Sb 0.835 0.835 0.170 1
```

(10)
# Ce2HoSb2

Ce2HoSb2 after structural relaxation (PBE, Alexandria via LeMat-Bulk).

```
data_Ce2HoSb2
_cell_length_a 6.788
_cell_length_b 6.788
_cell_length_c 6.788
_cell_angle_alpha 43.88
_cell_angle_beta 43.88
_cell_angle_gamma 43.88
_space_group_name_H-M_alt 'P 1'
_space_group_IT_number 1
loop_
_space_group_symop_operation_xyz
'x,y,z'
loop_
_atom_site_label
_atom_site_type_symbol
_atom_site_fract_x
_atom_site_fract_y
_atom_site_fract_z
_atom_site_occupancy
Ce1 Ce 0.189 0.189 0.189 1
Ce2 Ce 0.811 0.811 0.811 1
Ho1 Ho 0.000 0.000 0.000 1
Sb1 Sb 0.403 0.403 0.403 1
Sb2 Sb 0.597 0.597 0.597 1
```

(11)
# Ce5HoSb3

Ce5HoSb3 after structural relaxation (PBE, Alexandria via LeMat-Bulk).

```
data_Ce5HoSb3
_cell_length_a 6.651
_cell_length_b 8.961
_cell_length_c 8.973
_cell_angle_alpha 105.95
_cell_angle_beta 94.86
_cell_angle_gamma 94.98
_space_group_name_H-M_alt 'P 1'
_space_group_IT_number 1
loop_
_space_group_symop_operation_xyz
'x,y,z'
loop_
_atom_site_label
_atom_site_type_symbol
_atom_site_fract_x
_atom_site_fract_y
_atom_site_fract_z
_atom_site_occupancy
Ce1 Ce 0.031 0.384 0.214 1
Ce2 Ce 0.276 0.990 0.857 1
Ce3 Ce 0.292 0.704 0.146 1
Ce4 Ce 0.329 0.365 0.554 1
Ce5 Ce 0.466 0.638 0.809 1
Ce6 Ce 0.534 0.362 0.191 1
Ce7 Ce 0.671 0.635 0.446 1
Ce8 Ce 0.708 0.296 0.854 1
Ce9 Ce 0.724 0.010 0.143 1
Ce10 Ce 0.969 0.616 0.786 1
Ho1 Ho 0.000 0.000 0.500 1
Ho2 Ho 0.500 0.000 0.500 1
Sb1 Sb 0.206 0.701 0.509 1
Sb2 Sb 0.218 0.347 0.887 1
Sb3 Sb 0.234 0.067 0.225 1
Sb4 Sb 0.766 0.933 0.775 1
Sb5 Sb 0.782 0.653 0.113 1
Sb6 Sb 0.794 0.299 0.491 1
```

In eV for the cell shown, the final energy values for the records above are, in order, -84.79 -107.81 -80.95 -63.51 -20.95 -21.11 -91.05 -20.17 -64.00 -27.60 -105.46.
In eV/atom, the ΔE_f (raw) values for the records above are, in order, -2.02 -2.01 -2.01 -0.64 -0.44 -0.47 -1.09 -0.24 -0.83 -0.58 -0.68.